Record 1
First-principles (PBE) data for crystalline TbPmGaTc at its relaxed geometry, as listed in the Alexandria database.

Calculated values
Total magnetic moment in μB per formula unit: 0.00
Energy of formation in eV per formula unit: -0.638
SG: F-43m, No. 216
E_tot in eV per atom: -5.853

Lattice parameters (Å, degrees): 5.027 5.027 5.027 60.00 60.00 60.00
Positions (direct):
Tb (0.000, 0.000, 0.000)
Tc (0.750, 0.750, 0.750)
Ga (0.250, 0.250, 0.250)
Pm (0.500, 0.500, 0.500)


Record 2
First-principles (PBE) data for crystalline CaZnAg3 at its relaxed geometry, as listed in the Alexandria database.

Calculated values
Total magnetic moment in μB per formula unit: 0.00
Energy of formation in eV per formula unit: -0.826
SG: I4mm, No. 107
Relative energy among the computed polymorphs in meV/atom: 0
E_tot in eV per atom: -2.531

Lattice parameters (Å, degrees): 4.184 4.188 6.795 72.06 72.07 90.01
Positions (direct):
Ca (0.403, 0.207, 0.899)
Zn (0.011, 0.815, 0.683)
Ag (0.645, 0.949, 0.414)
Ag (0.145, 0.449, 0.415)
Ag (0.802, 0.606, 0.101)


Record 3
First-principles (PBE) data for crystalline Ce2ZnSn3Pd4 at its relaxed geometry, as listed in the Alexandria database.

Calculated values
Total magnetic moment in μB per formula unit: 1.98
Energy of formation in eV per formula unit: -6.791
SG: P-4m2, No. 115
E_tot in eV per atom: -5.271

Lattice parameters (Å, degrees): 4.527 4.527 10.665 90.00 90.00 90.00
Positions (direct):
Ce (0.500, 0.000, 0.252)
Ce (0.000, 0.500, 0.748)
Zn (0.500, 0.500, 0.500)
Sn (0.000, 0.000, 0.500)
Sn (0.500, 0.000, 0.868)
Sn (0.000, 0.500, 0.132)
Pd (0.500, 0.500, 0.000)
Pd (0.000, 0.000, 0.000)
Pd (0.500, 0.000, 0.625)
Pd (0.000, 0.500, 0.375)


Record 4
First-principles (PBE) data for crystalline Ni2AsBr at its relaxed geometry, as listed in the Alexandria database.

Calculated values
Total magnetic moment in μB per formula unit: 0.00
Energy relative to the elements, uncorrected in meV/atom: 215
SG: P4/mmm, No. 123
Relative energy among the computed polymorphs in meV/atom: 317
E_tot in eV per atom: -4.257

Lattice parameters (Å, degrees): 3.173 3.173 6.324 90.00 90.00 90.00
Positions (direct):
As (0.500, 0.500, 0.250)
Br (0.500, 0.500, 0.750)
Ni (0.000, 0.000, 0.055)
Ni (0.000, 0.000, 0.445)


Record 5
First-principles (PBE) data for crystalline ScNbCd at its relaxed geometry, as listed in the Alexandria database.

Calculated values
Total magnetic moment in μB per formula unit: 0.00
Energy of formation in eV per formula unit: -0.060
SG: I4mm, No. 107
Relative energy among the computed polymorphs in meV/atom: 95
E_tot in eV per atom: -5.792

Lattice parameters (Å, degrees): 2.948 2.948 7.373 101.53 101.53 90.00
Positions (direct):
Sc (0.660, 0.660, 0.321)
Nb (0.003, 0.003, 0.006)
Cd (0.336, 0.336, 0.673)


Record 6
First-principles (PBE) data for crystalline BaInTeBr at its relaxed geometry, as listed in the Alexandria database.

Calculated values
Total magnetic moment in μB per formula unit: 0.00
Energy relative to the elements, uncorrected in meV/atom: -1199
SG: F-43m, No. 216
E_tot in eV per atom: -3.568

Lattice parameters (Å, degrees): 5.829 5.829 5.829 60.00 60.00 60.00
Positions (direct):
Te (0.000, 0.000, 0.000)
Ba (0.250, 0.250, 0.250)
Br (0.500, 0.500, 0.500)
In (0.750, 0.750, 0.750)


Record 7
First-principles (PBE) data for crystalline K2BaUO5 at its relaxed geometry, as listed in the Alexandria database.

Calculated values
Total magnetic moment in μB per formula unit: 0.00
Energy relative to the elements, uncorrected in meV/atom: -2639
SG: Immm, No. 71
E_tot in eV per atom: -7.105

Lattice parameters (Å, degrees): 4.316 6.165 7.481 114.33 106.77 90.00
Positions (direct):
K (0.222, 0.222, 0.444)
K (0.778, 0.778, 0.556)
Ba (0.000, 0.500, 0.000)
U (0.500, 0.000, 0.000)
O (0.610, 0.870, 0.220)
O (0.390, 0.130, 0.780)
O (0.390, 0.649, 0.780)
O (0.610, 0.351, 0.220)
O (0.000, 0.000, 0.000)


Record 8
First-principles (PBE) data for crystalline CaTaF2 at its relaxed geometry, as listed in the Alexandria database.

Calculated values
Total magnetic moment in μB per formula unit: 1.00
Energy relative to the elements, uncorrected in meV/atom: -1293
SG: I-42d, No. 122
Relative energy among the computed polymorphs in meV/atom: 581
E_tot in eV per atom: -5.692

Lattice parameters (Å, degrees): 5.398 5.398 6.192 64.16 64.16 90.00
Positions (direct):
Ca (0.500, 0.500, 0.000)
Ca (0.250, 0.750, 0.500)
F (0.604, 0.125, 0.250)
F (0.146, 0.625, 0.250)
F (0.375, 0.396, 0.750)
F (0.875, 0.854, 0.750)
Ta (0.000, 0.000, 0.000)
Ta (0.750, 0.250, 0.500)


Record 9
First-principles (PBE) data for crystalline Hf6BeN2 at its relaxed geometry, as listed in the Alexandria database.

Calculated values
Total magnetic moment in μB per formula unit: 0.00
Energy relative to the elements, uncorrected in meV/atom: -637
SG: C2/m, No. 12
E_tot in eV per atom: -9.536

Lattice parameters (Å, degrees): 4.345 5.808 7.169 69.05 72.36 68.03
Positions (direct):
Hf (0.691, 0.701, 0.917)
Hf (0.309, 0.299, 0.083)
Hf (0.975, 0.849, 0.201)
Hf (0.344, 0.750, 0.563)
Hf (0.025, 0.151, 0.799)
Hf (0.656, 0.250, 0.437)
Be (0.000, 0.500, 0.500)
N (0.184, 0.719, 0.914)
N (0.816, 0.281, 0.086)


Record 10
First-principles (PBE) data for crystalline DyYMgSc at its relaxed geometry, as listed in the Alexandria database.

Calculated values
Total magnetic moment in μB per formula unit: 0.86
Energy of formation in eV per formula unit: 0.465
SG: Cm, No. 8
Relative energy among the computed polymorphs in meV/atom: 93
E_tot in eV per atom: -4.632

Lattice parameters (Å, degrees): 3.339 3.451 10.043 90.00 99.53 90.03
Positions (direct):
Dy (0.048, 0.430, 0.095)
Y (0.285, 0.430, 0.571)
Mg (0.667, 0.928, 0.335)
Sc (0.430, 0.931, 0.860)


Record 11
First-principles (PBE) data for crystalline Ca3Al2Cd9 at its relaxed geometry, as listed in the Alexandria database.

Calculated values
Total magnetic moment in μB per formula unit: 0.00
Energy of formation in eV per formula unit: -2.886
SG: Immm, No. 71
E_tot in eV per atom: -1.758

Lattice parameters (Å, degrees): 4.603 9.031 9.031 73.33 75.24 75.24
Positions (direct):
Ca (0.000, 0.000, 0.000)
Ca (0.697, 0.303, 0.303)
Ca (0.303, 0.697, 0.697)
Al (0.500, 0.305, 0.695)
Al (0.500, 0.695, 0.305)
Cd (0.000, 0.500, 0.500)
Cd (0.658, 0.974, 0.710)
Cd (0.342, 0.026, 0.290)
Cd (0.658, 0.710, 0.974)
Cd (0.342, 0.290, 0.026)
Cd (0.866, 0.847, 0.420)
Cd (0.134, 0.153, 0.580)
Cd (0.866, 0.420, 0.847)
Cd (0.134, 0.580, 0.153)


Record 12
First-principles (PBE) data for crystalline Ti2Au2Se at its relaxed geometry, as listed in the Alexandria database.

Calculated values
Total magnetic moment in μB per formula unit: 1.16
Energy relative to the elements, uncorrected in meV/atom: -140
SG: P4/mbm, No. 127
Relative energy among the computed polymorphs in meV/atom: 304
E_tot in eV per atom: -5.306

Lattice parameters (Å, degrees): 7.437 7.437 3.405 90.00 90.00 90.00
Positions (direct):
Au (0.367, 0.867, 0.000)
Au (0.867, 0.633, 0.000)
Au (0.633, 0.133, 0.000)
Au (0.133, 0.367, 0.000)
Se (0.000, 0.000, 0.000)
Se (0.500, 0.500, 0.000)
Ti (0.163, 0.663, 0.500)
Ti (0.663, 0.837, 0.500)
Ti (0.837, 0.337, 0.500)
Ti (0.337, 0.163, 0.500)